Record 1
Below is La3InO after structural relaxation, with properties calculated at the GGA-PBE level.

The structure belongs to space group Pnma (No. 62); the cell edges are 6.140, 13.820 and 7.119 Å and the angles 90.00°, 90.00° and 90.00°. The asymmetric unit holds La at (0.014, 0.112, 0.083), La at (0.032, 0.250, 0.578), In at (0.000, 0.000, 0.500) and O at (0.079, 0.750, 0.102).

***

Record 2
Below is AgGeIF6 after structural relaxation, with properties calculated at the GGA-PBE level.

The structure belongs to space group P1 (No. 1); the cell edges are 5.350, 6.082 and 6.095 Å and the angles 104.24°, 107.35° and 107.44°. The asymmetric unit holds Ag at (0.000, 0.000, 0.000), Ge at (0.002, 0.557, 0.444), I at (0.500, 0.903, 0.098), F at (0.199, 0.399, 0.333), F at (0.245, 0.572, 0.776), F at (0.245, 0.860, 0.509), F at (0.756, 0.225, 0.428), F at (0.761, 0.493, 0.142) and F at (0.804, 0.669, 0.601).

***

What did we get for energy relative to the elements, uncorrected? Answer: -604, -1508 kJ/mol of formula units, in the order shown.